Compound: AlV2Fe2
Source: the Alexandria database
Functional: PBE
Structure: relaxed

Calculated values
energy above the lowest structure with this stoichiometry	223	kJ/mol of formula units
ΔE_f	1.52	eV per formula unit
energy	-74.8	eV for the cell shown
spin magnetization	0.45	μB/cell

Lattice parameters (Å, degrees): 3.6275 3.6275 10.6344 90.00 90.00 90.00
With the nearest neighbours (Å) after each atom.
Space group I4/mmm (No. 139)
Symmetry-distinct sites (fractional):
1 Al 0.0000 0.0000 0.0000  8 V 2.86
2 V 0.0000 0.0000 0.3812  4 Fe 2.29, 1 V 2.53
3 Fe 0.0000 0.5000 0.2500  4 V 2.29